An optimized crystal structure of Mn2ReAs, computed with PBE.

## Properties
Formation energy, eV/f.u.: 0.8
DFT total energy, eV per atom: -8.66
Magnetization, μB per cell: 4.916
Space group: Cmmm, No. 65

Unit cell a=2.7237 b=2.7237 c=7.8751 alpha=90.00 beta=90.00 gamma=106.63
Site moments in Bohr magnetons follow the coordinates.
Positions (direct):
Re  0.5000  0.5000  0.2500  -0.22
Mn  0.0000  0.0000  0.9959  2.53
Mn  0.0000  0.0000  0.5041  2.53
As  0.5000  0.5000  0.7500  -0.04